Record 1
Computed, not measured: TiCd4O5 after structural relaxation at the PBE level of DFT.

Computed properties:
As for the spin magnetization: 0.0 μB per formula unit. For the formation energy (no corrections), the calculation gives -1.42 eV/atom.

a = 3.9321 Å, b = 6.3405 Å, c = 6.3405 Å
α = 84.48°, β = 71.94°, γ = 71.94°
With the nearest neighbours (Å) after each atom.
Fractional coordinates of all 10 atoms:
Ti1 0.0398 0.0000 0.0000  1 O 1.78
Cd1 0.3710 0.4736 0.7797  3 O 2.27-2.35
Cd2 0.8447 0.7797 0.5264  3 O 2.27-2.35
Cd3 0.1507 0.2203 0.4736  3 O 2.27-2.35
Cd4 0.6243 0.5264 0.2203  3 O 2.27-2.35
O1 0.8915 0.3208 0.8901  1 Ti 2.05, 2 Cd 2.27
O2 0.2123 0.8901 0.6792  1 Ti 2.05, 2 Cd 2.27
O3 0.7816 0.1099 0.3208  1 Ti 2.05, 2 Cd 2.27
O4 0.1024 0.6792 0.1099  1 Ti 2.05, 2 Cd 2.27
O5 0.4919 0.0000 0.0000  1 Ti 1.78

***

Record 2
Computed, not measured: Ti5Cd3O12 after structural relaxation at the PBE level of DFT.

Computed properties:
As for the spin magnetization: 1.7 μB per formula unit. For the formation energy (no corrections), the calculation gives -2.36 eV/atom.

a = 10.9650 Å, b = 10.9650 Å, c = 10.9650 Å
α = 109.47°, β = 109.47°, γ = 109.47°
With the nearest neighbours (Å) after each atom.
Fractional coordinates of all 80 atoms:
Cd1 0.7500 0.3750 0.1250  8 O 2.47-2.58
Cd2 0.8750 0.7500 0.1250  8 O 2.47-2.58
Cd3 0.3750 0.7500 0.6250  8 O 2.47-2.58
Cd4 0.2500 0.1250 0.3750  8 O 2.47-2.58
Cd5 0.8750 0.1250 0.2500  8 O 2.47-2.58
Cd6 0.3750 0.6250 0.2500  8 O 2.47-2.58
Cd7 0.6250 0.3750 0.7500  8 O 2.47-2.58
Cd8 0.1250 0.8750 0.7500  8 O 2.47-2.58
Cd9 0.7500 0.8750 0.6250  8 O 2.47-2.58
Cd10 0.6250 0.2500 0.3750  8 O 2.47-2.58
Cd11 0.1250 0.2500 0.8750  8 O 2.47-2.58
Cd12 0.2500 0.6250 0.8750  8 O 2.47-2.58
Ti1 0.1250 0.3750 0.2500  4 O 1.85
Ti2 0.0000 0.5000 0.0000  6 O 2.02
Ti3 0.0000 0.0000 0.0000  6 O 2.02
Ti4 0.3750 0.2500 0.1250  4 O 1.85
Ti5 0.5000 0.0000 0.5000  6 O 2.02
Ti6 0.5000 0.5000 0.0000  6 O 2.02
Ti7 0.1250 0.7500 0.3750  4 O 1.85
Ti8 0.7500 0.1250 0.8750  4 O 1.85
Ti9 0.7500 0.6250 0.3750  4 O 1.85
Ti10 0.3750 0.1250 0.7500  4 O 1.85
Ti11 0.6250 0.8750 0.2500  4 O 1.85
Ti12 0.5000 0.5000 0.5000  6 O 2.02
Ti13 0.5000 0.0000 0.0000  6 O 2.02
Ti14 0.0000 0.0000 0.5000  6 O 2.02
Ti15 0.2500 0.3750 0.6250  4 O 1.85
Ti16 0.2500 0.8750 0.1250  4 O 1.85
Ti17 0.0000 0.5000 0.5000  6 O 2.02
Ti18 0.8750 0.2500 0.6250  4 O 1.85
Ti19 0.6250 0.7500 0.8750  4 O 1.85
Ti20 0.8750 0.6250 0.7500  4 O 1.85
O1 0.6981 0.1143 0.0168  2 Ti 1.85-2.02
O2 0.3187 0.5168 0.4025  2 Ti 1.85-2.02
O3 0.9832 0.3857 0.3019  2 Ti 1.85-2.02
O4 0.5168 0.1981 0.1143  2 Ti 1.85-2.02
O5 0.5838 0.6981 0.6813  2 Ti 1.85-2.02
O6 0.9832 0.5975 0.1813  2 Ti 1.85-2.02
O7 0.3187 0.8019 0.4162  2 Ti 1.85-2.02
O8 0.0975 0.9162 0.1143  2 Ti 1.85-2.02
O9 0.5975 0.9832 0.6813  2 Ti 1.85-2.02
O10 0.6981 0.5838 0.1813  2 Ti 1.85-2.02
O11 0.8019 0.4832 0.3857  2 Ti 1.85-2.02
O12 0.8187 0.9025 0.0168  2 Ti 1.85-2.02
O13 0.1143 0.6981 0.5168  2 Ti 1.85-2.02
O14 0.3857 0.4025 0.0838  2 Ti 1.85-2.02
O15 0.0838 0.9025 0.3857  2 Ti 1.85-2.02
O16 0.4162 0.1143 0.5975  2 Ti 1.85-2.02
O17 0.0838 0.1813 0.1981  2 Ti 1.85-2.02
O18 0.4832 0.6813 0.0975  2 Ti 1.85-2.02
O19 0.8187 0.9162 0.3019  2 Ti 1.85-2.02
O20 0.1143 0.4162 0.0975  2 Ti 1.85-2.02
O21 0.3857 0.9832 0.8019  2 Ti 1.85-2.02
O22 0.5975 0.6143 0.4162  2 Ti 1.85-2.02
O23 0.9025 0.8187 0.5168  2 Ti 1.85-2.02
O24 0.8019 0.3187 0.9162  2 Ti 1.85-2.02
O25 0.4025 0.3857 0.5838  2 Ti 1.85-2.02
O26 0.0975 0.1813 0.4832  2 Ti 1.85-2.02
O27 0.1981 0.6813 0.0838  2 Ti 1.85-2.02
O28 0.1813 0.0838 0.6981  2 Ti 1.85-2.02
O29 0.6143 0.0168 0.1981  2 Ti 1.85-2.02
O30 0.8857 0.5838 0.9025  2 Ti 1.85-2.02
O31 0.5168 0.3187 0.9025  2 Ti 1.85-2.02
O32 0.5838 0.8857 0.4025  2 Ti 1.85-2.02
O33 0.9162 0.8187 0.8019  2 Ti 1.85-2.02
O34 0.9162 0.0975 0.6143  2 Ti 1.85-2.02
O35 0.8857 0.3019 0.4832  2 Ti 1.85-2.02
O36 0.1813 0.0975 0.9832  2 Ti 1.85-2.02
O37 0.6143 0.5975 0.9162  2 Ti 1.85-2.02
O38 0.4025 0.0168 0.3187  2 Ti 1.85-2.02
O39 0.3019 0.4162 0.8187  2 Ti 1.85-2.02
O40 0.1981 0.5168 0.6143  2 Ti 1.85-2.02
O41 0.9025 0.0838 0.8857  2 Ti 1.85-2.02
O42 0.6813 0.1981 0.5838  2 Ti 1.85-2.02
O43 0.4832 0.8019 0.8857  2 Ti 1.85-2.02
O44 0.0168 0.4025 0.8187  2 Ti 1.85-2.02
O45 0.4162 0.3019 0.3187  2 Ti 1.85-2.02
O46 0.0168 0.6143 0.6981  2 Ti 1.85-2.02
O47 0.6813 0.4832 0.5975  2 Ti 1.85-2.02
O48 0.3019 0.8857 0.9832  2 Ti 1.85-2.02

***

Record 3
Computed, not measured: Ti6Cd2O after structural relaxation at the PBE level of DFT.

Computed properties:
As for the spin magnetization: 1.2 μB per formula unit. For the formation energy (no corrections), the calculation gives -0.57 eV/atom.

a = 5.9042 Å, b = 5.9042 Å, c = 5.9050 Å
α = 59.99°, β = 59.99°, γ = 60.01°
With the nearest neighbours (Å) after each atom.
Fractional coordinates of all 9 atoms:
Ti1 0.2419 0.2419 0.7580  1 O 2.15
Ti2 0.2420 0.7579 0.2420  1 O 2.15
Ti3 0.7580 0.2421 0.7580  1 O 2.15
Ti4 0.7579 0.2420 0.2420  1 O 2.15
Ti5 0.2421 0.7580 0.7580  1 O 2.15
Ti6 0.7581 0.7581 0.2420  1 O 2.15
Cd1 0.2500 0.2500 0.2499  12 Ti 2.95
Cd2 0.7500 0.7500 0.7501  12 Ti 2.95
O1 0.5000 0.5000 0.5000  6 Ti 2.15

***

Record 4
Computed, not measured: TiCdO3 after structural relaxation at the PBE level of DFT.

Computed properties:
As for the spin magnetization: 0.0 μB per formula unit. For the formation energy (no corrections), the calculation gives -2.06 eV/atom.

a = 3.8521 Å, b = 3.8521 Å, c = 3.8521 Å
α = 90.00°, β = 90.00°, γ = 90.00°
With the nearest neighbours (Å) after each atom.
Fractional coordinates of all 5 atoms:
Ti1 0.0000 0.0000 0.0000  6 O 1.93
O1 0.0000 0.5000 0.0000  2 Ti 1.93
O2 0.0000 0.0000 0.5000  2 Ti 1.93
O3 0.5000 0.0000 0.0000  2 Ti 1.93
Cd1 0.5000 0.5000 0.5000  12 O 2.72

***

Record 5
Computed, not measured: Ti3CdO after structural relaxation at the PBE level of DFT.

Computed properties:
As for the spin magnetization: 4.0 μB per formula unit. For the formation energy (no corrections), the calculation gives 1.53 eV/atom.

a = 5.0076 Å, b = 5.0076 Å, c = 5.0076 Å
α = 90.00°, β = 90.00°, γ = 90.00°
With the nearest neighbours (Å) after each atom.
Fractional coordinates of all 5 atoms:
Ti1 0.0000 0.5000 0.0000  2 Cd 2.50
Ti2 0.0000 0.0000 0.5000  2 Cd 2.50
Ti3 0.5000 0.0000 0.0000  2 Cd 2.50
O1 0.5000 0.5000 0.5000  12 Ti 3.54
Cd1 0.0000 0.0000 0.0000  6 Ti 2.50

***

Record 6
Computed, not measured: TiCdO3 after structural relaxation at the PBE level of DFT.

Computed properties:
As for the spin magnetization: 0.0 μB per formula unit. For the formation energy (no corrections), the calculation gives -2.16 eV/atom.

a = 3.4018 Å, b = 9.6688 Å, c = 7.6587 Å
α = 90.00°, β = 90.00°, γ = 90.00°
With the nearest neighbours (Å) after each atom.
Fractional coordinates of all 20 atoms:
Ti1 0.9998 0.7790 0.2460  4 O 1.77-1.98
Ti2 0.0002 0.2790 0.7540  4 O 1.77-1.98
Ti3 0.0002 0.2790 0.2460  4 O 1.77-1.98
Ti4 0.9998 0.7790 0.7540  4 O 1.77-1.98
Cd1 0.5009 0.0416 0.0000  6 O 2.36-2.39
Cd2 0.4992 0.0119 0.5000  4 O 2.25-2.36
Cd3 0.4991 0.5416 0.0000  6 O 2.36-2.39
Cd4 0.5008 0.5119 0.5000  4 O 2.25-2.36
O1 0.9991 0.7159 0.0000  2 Ti 1.98
O2 0.0011 0.9557 0.1840  1 Ti 1.77
O3 0.4995 0.6961 0.7017  2 Ti 1.92
O4 0.5005 0.1961 0.7017  2 Ti 1.92
O5 0.4995 0.6961 0.2983  2 Ti 1.92
O6 0.0009 0.3591 0.5000  2 Ti 2.09, 2 Cd 2.25
O7 0.9989 0.4557 0.1840  1 Ti 1.77
O8 0.0009 0.2159 0.0000  2 Ti 1.98
O9 0.0011 0.9557 0.8160  1 Ti 1.77
O10 0.9989 0.4557 0.8160  1 Ti 1.77
O11 0.5005 0.1961 0.2983  2 Ti 1.92
O12 0.9991 0.8591 0.5000  2 Ti 2.09, 2 Cd 2.25

***

Record 7
Computed, not measured: TiCdO3 after structural relaxation at the PBE level of DFT.

Computed properties:
As for the spin magnetization: 0.0 μB per formula unit. For the formation energy (no corrections), the calculation gives -1.63 eV/atom.

a = 3.1607 Å, b = 5.0899 Å, c = 11.6589 Å
α = 114.94°, β = 90.82°, γ = 90.02°
With the nearest neighbours (Å) after each atom.
Fractional coordinates of all 10 atoms:
Ti1 0.7870 0.0427 0.9072  6 O 1.88-2.08
Ti2 0.2885 0.5749 0.9386  4 O 1.89-2.03
Cd1 0.7672 0.3785 0.5806  1 O 2.59
Cd2 0.2652 0.8447 0.5440  2 O 2.67
O1 0.2912 0.9832 0.0069  3 Ti 1.89-2.06
O2 0.7814 0.6357 0.8257  1 Ti 1.88
O3 0.2818 0.1422 0.8273  3 Ti 2.00-2.03
O4 0.7917 0.4904 0.0124  3 Ti 1.93-2.08
O5 0.5557 0.6192 0.3083  1 O 1.25
O6 0.9499 0.6191 0.3084  1 O 1.25

***

Record 8
Computed, not measured: TiCdO2 after structural relaxation at the PBE level of DFT.

Computed properties:
As for the spin magnetization: 0.0 μB per formula unit. For the formation energy (no corrections), the calculation gives -2.08 eV/atom.

a = 5.9989 Å, b = 5.9989 Å, c = 6.0022 Å
α = 60.02°, β = 60.02°, γ = 90.00°
With the nearest neighbours (Å) after each atom.
Fractional coordinates of all 8 atoms:
Ti1 0.5000 0.5000 0.0000  4 O 1.84
Ti2 0.2500 0.7500 0.5000  4 O 1.84
O1 0.3748 0.1250 0.2500  2 Ti 1.84
O2 0.3752 0.6250 0.2500  2 Ti 1.84
O3 0.3750 0.6252 0.7500  2 Ti 1.84
O4 0.8750 0.6248 0.7500  2 Ti 1.84
Cd1 0.0000 0.0000 0.0000  12 O 3.52, 4 Cd 3.67, 4 Ti 3.67
Cd2 0.7500 0.2500 0.5000  12 O 3.52, 4 Cd 3.67, 4 Ti 3.67

***

Record 9
Computed, not measured: TiCdO3 after structural relaxation at the PBE level of DFT.

Computed properties:
As for the spin magnetization: 0.0 μB per formula unit. For the formation energy (no corrections), the calculation gives -2.25 eV/atom.

a = 3.6677 Å, b = 5.3662 Å, c = 7.8728 Å
α = 109.93°, β = 90.00°, γ = 90.00°
With the nearest neighbours (Å) after each atom.
Fractional coordinates of all 10 atoms:
Ti1 0.2500 0.7435 0.1731  4 O 1.78-1.92
Ti2 0.7500 0.5703 0.8269  4 O 1.78-1.92
Cd1 0.2500 0.0102 0.6464  5 O 2.29-2.37
Cd2 0.7500 0.3638 0.3536  5 O 2.29-2.37
O1 0.7500 0.8569 0.7623  1 Ti 1.78
O2 0.7500 0.6495 0.1086  3 Ti 1.92-2.11
O3 0.7500 0.2727 0.6169  1 Ti 1.87
O4 0.2500 0.5410 0.8914  3 Ti 1.92-2.11
O5 0.2500 0.0946 0.2377  1 Ti 1.78
O6 0.2500 0.6558 0.3831  1 Ti 1.87

***

Record 10
Computed, not measured: TiCdO3 after structural relaxation at the PBE level of DFT.

Computed properties:
As for the spin magnetization: 1.1 μB per formula unit. For the formation energy (no corrections), the calculation gives -0.24 eV/atom.

a = 4.0418 Å, b = 4.0418 Å, c = 4.0418 Å
α = 90.00°, β = 90.00°, γ = 90.00°
With the nearest neighbours (Å) after each atom.
Fractional coordinates of all 5 atoms:
Ti1 0.5000 0.5000 0.5000  12 O 2.86
O1 0.0000 0.5000 0.0000  2 Cd 2.02
O2 0.0000 0.0000 0.5000  2 Cd 2.02
O3 0.5000 0.0000 0.0000  2 Cd 2.02
Cd1 0.0000 0.0000 0.0000  6 O 2.02

***

Record 11
Computed, not measured: TiCdO3 after structural relaxation at the PBE level of DFT.

Computed properties:
As for the spin magnetization: 0.0 μB per formula unit. For the formation energy (no corrections), the calculation gives -2.18 eV/atom.

a = 5.3499 Å, b = 6.0487 Å, c = 6.8681 Å
α = 52.80°, β = 53.42°, γ = 61.40°
With the nearest neighbours (Å) after each atom.
Fractional coordinates of all 10 atoms:
Ti1 0.2220 0.1376 0.9371  4 O 1.80-2.01
Ti2 0.7780 0.8624 0.0629  4 O 1.80-2.01
O1 0.1648 0.4598 0.6534  1 Ti 1.80
O2 0.1680 0.9403 0.7819  1 Ti 1.83
O3 0.5576 0.7853 0.9765  2 Ti 1.91-2.01
O4 0.8352 0.5402 0.3466  1 Ti 1.80
O5 0.8320 0.0597 0.2180  1 Ti 1.83
O6 0.4424 0.2147 0.0235  2 Ti 1.91-2.01
Cd1 0.3329 0.3474 0.3272  6 O 2.27-2.48
Cd2 0.6671 0.6526 0.6728  6 O 2.27-2.48

***

Record 12
Computed, not measured: Ti2CdO5 after structural relaxation at the PBE level of DFT.

Computed properties:
As for the spin magnetization: 0.0 μB per formula unit. For the formation energy (no corrections), the calculation gives -2.51 eV/atom.

a = 5.4898 Å, b = 5.4898 Å, c = 10.7384 Å
α = 90.00°, β = 90.00°, γ = 140.56°
With the nearest neighbours (Å) after each atom.
Fractional coordinates of all 16 atoms:
Ti1 0.8727 0.1273 0.5668  4 O 1.82-2.02
Ti2 0.8727 0.1273 0.9332  4 O 1.82-2.02
Ti3 0.1273 0.8727 0.0668  4 O 1.82-2.02
Ti4 0.1273 0.8727 0.4332  4 O 1.82-2.02
Cd1 0.8097 0.1903 0.2500  4 O 2.18-2.26
Cd2 0.1903 0.8097 0.7500  4 O 2.18-2.26
O1 0.9556 0.0444 0.1036  2 Ti 1.82-2.02
O2 0.9556 0.0444 0.3964  2 Ti 1.82-2.02
O3 0.6831 0.3169 0.0530  2 Ti 1.95
O4 0.6831 0.3169 0.4470  2 Ti 1.95
O5 0.1842 0.8158 0.2500  2 Ti 2.05, 2 Cd 2.26
O6 0.8158 0.1842 0.7500  2 Ti 2.05, 2 Cd 2.26
O7 0.3169 0.6831 0.5530  2 Ti 1.95
O8 0.0444 0.9556 0.6036  2 Ti 1.82-2.02
O9 0.3169 0.6831 0.9470  2 Ti 1.95
O10 0.0444 0.9556 0.8964  2 Ti 1.82-2.02